PBE TaNbHPd2, optimized geometry; M_tot = 0.0 μB per cell; ΔE to the lowest computed polymorph = 0 meV/atom
1.0
-3.197 -0.459 2.324
1.467 -3.449 1.336
2.008 2.084 3.175
H Ta Nb Pd
1 1 1 2
Cartesian
0.000 0.000 0.000
0.139 -0.912 3.417
1.004 1.042 1.587
-1.598 -0.230 1.162
0.733 -1.724 0.668

PBE NdSmInAg, optimized geometry; M_tot = 0.0 μB per cell; ΔE to the lowest computed polymorph = 0 meV/atom; E_form = -0.3795 eV per atom
1.0
-2.147 0.327 -3.009
-1.039 -3.544 0.356
-6.092 2.246 4.591
Ag Sm In Nd
1 1 1 1
Cartesian
-5.241 -0.263 1.423
-2.254 0.831 1.699
-2.275 -1.357 -0.812
-5.161 1.903 3.889

PBE LiRe2Pt, optimized geometry; M_tot = 0.0 μB per cell; ΔE to the lowest computed polymorph = 184 meV/atom; E_form = 0.1350 eV per atom
1.0
2.693 0.000 0.000
0.000 4.189 0.000
0.000 0.000 5.110
Re Pt Li
2 1 1
Cartesian
0.000 0.000 2.456
0.000 0.000 0.099
1.347 2.094 3.833
1.347 2.094 1.278

What did we get for D(E_F)? Answer: 3.1 4.2 2.8 states/eV/f.u., in the order shown.